# Pm2YRh9

An optimized crystal structure of Pm2YRh9 (PBE, the Alexandria database).

The structure belongs to space group R-3m (No. 166, hexagonal axes); the cell edges are 5.2876, 5.2876 and 26.5907 Å and the angles 90.00°, 90.00° and 120.00°. The asymmetric unit holds Pm at (0.0000, 0.0000, 0.1386), Y at (0.0000, 0.0000, 0.0000), Rh at (0.0000, 0.0000, 0.3328), Rh at (0.0000, 0.0000, 0.5000) and Rh at (0.0006, 0.5003, 0.0814).

The calculation puts the energy relative to the elements at -51 kJ/mol of atoms. The calculation puts the total DFT energy (no corrections) at -7.37 eV per atom.



# PmY2Rh9

An optimized crystal structure of PmY2Rh9 (PBE, the Alexandria database).

The structure belongs to space group R-3m (No. 166, hexagonal axes); the cell edges are 5.2861, 5.2861 and 26.3170 Å and the angles 90.00°, 90.00° and 120.00°. The asymmetric unit holds Pm at (0.0000, 0.0000, 0.0000), Y at (0.0000, 0.0000, 0.1392), Rh at (0.0000, 0.0000, 0.3330), Rh at (0.0000, 0.0000, 0.5000) and Rh at (0.9998, 0.4999, 0.0828).

The calculation puts the energy relative to the elements at -54 kJ/mol of atoms. The calculation puts the total DFT energy (no corrections) at -7.54 eV per atom.



# Pm8YRh6

An optimized crystal structure of Pm8YRh6 (PBE, the Alexandria database).

The structure belongs to space group R-3 (No. 148, hexagonal axes); the cell edges are 8.4499, 8.4499 and 18.4984 Å and the angles 90.00°, 90.00° and 120.00°. The asymmetric unit holds Pm at (0.0000, 0.0000, 0.1696), Pm at (0.0035, 0.6614, 0.2783), Y at (0.0000, 0.0000, 0.5000) and Rh at (0.9997, 0.3341, 0.8888).

The calculation puts the energy relative to the elements at -58 kJ/mol of atoms. The calculation puts the total DFT energy (no corrections) at -6.51 eV per atom.



# PmY2Rh

An optimized crystal structure of PmY2Rh (PBE, the Alexandria database).

The structure belongs to space group R3m (No. 160, hexagonal axes); the cell edges are 3.8808, 3.8808 and 27.5094 Å and the angles 90.00°, 90.00° and 120.00°. The asymmetric unit holds Pm at (0.0000, 0.0000, 0.0000), Y at (0.0000, 0.0000, 0.5565), Y at (0.0000, 0.0000, 0.7729) and Rh at (0.0000, 0.0000, 0.1647).

The calculation puts the energy relative to the elements at -32 kJ/mol of atoms. For the energy above the most stable polymorph in this dataset, the calculation gives 164.2 meV/atom. The calculation puts the total DFT energy (no corrections) at -6.59 eV per atom.